Entry from the Alexandria database: crystalline Sr3GaTe4 at its relaxed geometry (PBE-GGA).

Uncorrected formation energy ... -1.18 eV per atom
Space-group type ... Pmn2_1

Lattice parameters (Å, degrees): 6.678 9.536 10.967 90.00 90.00 90.00
Fractional positions:
Sr 0.571 0.845 0.000
Sr 0.072 0.666 0.241
Sr 0.572 0.334 0.259
Sr 0.071 0.155 0.500
Sr 0.572 0.334 0.741
Sr 0.072 0.666 0.759
Ga 0.999 0.176 0.000
Ga 0.499 0.824 0.500
Te 0.072 0.871 0.000
Te 0.584 0.180 0.000
Te 0.073 0.320 0.233
Te 0.573 0.680 0.267
Te 0.084 0.820 0.500
Te 0.572 0.129 0.500
Te 0.573 0.680 0.733
Te 0.073 0.320 0.767

Entry from the Alexandria database: crystalline RbSr2Y2 at its relaxed geometry (PBE-GGA).

Energy of formation from the pure elements ... 0.377 eV/atom
Space-group type ... P4/mbm
ΔE to the lowest computed polymorph ... 0.000 eV per atom

Lattice parameters (Å, degrees): 11.140 11.140 3.940 90.00 90.00 90.00
Fractional positions:
Y 0.394 0.894 0.000
Y 0.894 0.606 0.000
Y 0.606 0.106 0.000
Y 0.106 0.394 0.000
Sr 0.179 0.679 0.500
Sr 0.679 0.821 0.500
Sr 0.821 0.321 0.500
Sr 0.321 0.179 0.500
Rb 0.000 0.000 0.000
Rb 0.500 0.500 0.000

Entry from the Alexandria database: crystalline Sc2ZnGaF at its relaxed geometry (PBE-GGA).

Uncorrected formation energy ... -0.17 eV per atom
Space-group type ... P4/mmm

Lattice parameters (Å, degrees): 5.209 4.477 5.209 90.00 90.00 90.00
Fractional positions:
Sc 0.000 0.000 0.500
Sc 0.500 0.000 0.000
Zn 0.000 0.500 0.000
Ga 0.000 0.000 0.000
F 0.500 0.500 0.500

Entry from the Alexandria database: crystalline PaSn7 at its relaxed geometry (PBE-GGA).

Energy of formation from the pure elements ... -0.085 eV/atom
Space-group type ... Fm-3m

Lattice parameters (Å, degrees): 6.668 6.668 6.668 60.00 60.00 60.00
Fractional positions:
Pa 0.000 0.000 0.000
Sn 0.500 0.500 0.000
Sn 0.500 0.000 0.500
Sn 0.000 0.500 0.500
Sn 0.500 0.000 0.000
Sn 0.000 0.500 0.000
Sn 0.000 0.000 0.500
Sn 0.500 0.500 0.500

Entry from the Alexandria database: crystalline Ta2NiOs at its relaxed geometry (PBE-GGA).

Energy of formation from the pure elements ... 0.101 eV/atom
Space-group type ... R-3m
ΔE to the lowest computed polymorph ... 0.352 eV per atom

Lattice parameters (Å, degrees): 9.080 9.080 9.080 18.00 18.00 18.00
Fractional positions:
Ni 0.250 0.250 0.250
Os 0.750 0.750 0.750
Ta 0.997 0.997 0.997
Ta 0.503 0.503 0.503

Entry from the Alexandria database: crystalline Ba3AlNi at its relaxed geometry (PBE-GGA).

Energy of formation from the pure elements ... 0.152 eV/atom
Space-group type ... Pm-3m
ΔE to the lowest computed polymorph ... 0.000 eV per atom

Lattice parameters (Å, degrees): 5.915 5.915 5.915 90.00 90.00 90.00
Fractional positions:
Ni 0.000 0.000 0.000
Ba 0.000 0.500 0.000
Ba 0.000 0.000 0.500
Ba 0.500 0.000 0.000
Al 0.500 0.500 0.500

Entry from the Alexandria database: crystalline Pm2MgSi3Pt4 at its relaxed geometry (PBE-GGA).

Uncorrected formation energy ... -1.06 eV per atom
Space-group type ... P-4m2

Lattice parameters (Å, degrees): 4.266 4.266 10.148 90.00 90.00 90.00
Fractional positions:
Pm 0.500 0.000 0.246
Pm 0.000 0.500 0.754
Mg 0.500 0.500 0.500
Si 0.000 0.000 0.500
Si 0.500 0.000 0.874
Si 0.000 0.500 0.126
Pt 0.500 0.500 0.000
Pt 0.000 0.000 0.000
Pt 0.500 0.000 0.639
Pt 0.000 0.500 0.361

Entry from the Alexandria database: crystalline NaCoTc3 at its relaxed geometry (PBE-GGA).

Energy of formation from the pure elements ... 2.850 eV/atom
Space-group type ... Pm-3m
ΔE to the lowest computed polymorph ... 1.413 eV per atom

Lattice parameters (Å, degrees): 4.369 4.369 4.369 90.00 90.00 90.00
Fractional positions:
Na 0.000 0.000 0.000
Co 0.500 0.500 0.500
Tc 0.000 0.500 0.000
Tc 0.000 0.000 0.500
Tc 0.500 0.000 0.000